1.
Compound: Na3BeRu
Source: the Alexandria database
Functional: PBE
Structure: optimized geometry

Results
* excess energy over the best structure of this formula in the dataset: 0.000 eV/atom
* DFT formation energy: 1.410 eV/atom

a = 5.155 Å, b = 5.155 Å, c = 5.155 Å
α = 90.00°, β = 90.00°, γ = 90.00°
Sites, in units of the cell vectors:
Na1 0.000 0.000 0.500
Na2 0.000 0.500 0.000
Na3 0.500 0.000 0.000
Be1 0.000 0.000 0.000
Ru1 0.500 0.500 0.500



2.
Compound: Y2FeSiC
Source: the Alexandria database
Functional: PBE
Structure: optimized geometry

Results
* ΔE_f (raw): -1.79 eV per formula unit
* excess energy over the best structure of this formula in the dataset: 0.083 eV/atom

a = 4.934 Å, b = 4.934 Å, c = 3.702 Å
α = 90.00°, β = 90.00°, γ = 90.00°
Sites, in units of the cell vectors:
Y1 0.000 0.500 0.000
Y2 0.500 0.000 0.000
Fe1 0.000 0.000 0.500
Si1 0.500 0.500 0.500
C1 0.000 0.000 0.000



3.
Compound: AcCdCuRh
Source: the Alexandria database
Functional: PBE
Structure: optimized geometry

Results
* DFT formation energy: -0.164 eV/atom

a = 5.000 Å, b = 5.000 Å, c = 5.000 Å
α = 60.00°, β = 60.00°, γ = 60.00°
Sites, in units of the cell vectors:
Ac1 0.000 0.000 0.000
Cd1 0.500 0.500 0.500
Cu1 0.250 0.250 0.250
Rh1 0.750 0.750 0.750



4.
Compound: Co2AgMo
Source: the Alexandria database
Functional: PBE
Structure: optimized geometry

Results
* excess energy over the best structure of this formula in the dataset: 0.137 eV/atom
* DFT formation energy: 0.422 eV/atom

a = 4.460 Å, b = 4.460 Å, c = 4.966 Å
α = 98.75°, β = 98.75°, γ = 35.03°
Sites, in units of the cell vectors:
Co1 0.246 0.246 0.212
Co2 0.754 0.754 0.788
Ag1 0.000 0.000 0.500
Mo1 0.500 0.500 0.000



| no. | calculated density (Mg/m³) | size of the total moment (μB/atom) |
| --- | --- | --- |
| 1 | 2.2 | 0.416 |
| 2 | 5.0 | 0.231 |
| 3 | 9.5 | 0.000 |
| 4 | 9.5 | 0.498 |